No. 1
# LiLuTlIn

A relaxed LiLuTlIn crystal (PBE, Alexandria via LeMat-Bulk).

Summary:
calculated density: 8857 kg/m3
formation energy from the elements: -0.306 eV/atom

abc: 7.2162 7.2162 7.2162
angles: 90.00 90.00 90.00
Space group F-43m (No. 216)
Unique sites:
Li1 0.0000 0.0000 0.0000 (multiplicity 4)
Lu1 0.0000 0.0000 0.5000 (multiplicity 4)
Tl1 0.2500 0.2500 0.7500 (multiplicity 4)
In1 0.2500 0.2500 0.2500 (multiplicity 4)

No. 2
# Na2NbSnRu

A relaxed Na2NbSnRu crystal (PBE, Alexandria via LeMat-Bulk).

Summary:
calculated density: 3993 kg/m3
formation energy from the elements: 1.552 eV/atom

abc: 5.2627 5.2627 5.3852
angles: 90.00 90.00 90.00
Space group P4/mmm (No. 123)
Unique sites:
Na1 0.0000 0.5000 0.0000 (multiplicity 2)
Nb1 0.0000 0.0000 0.5000 (multiplicity 1)
Sn1 0.0000 0.0000 0.0000 (multiplicity 1)
Ru1 0.5000 0.5000 0.5000 (multiplicity 1)

No. 3
# CrFeBN2

A relaxed CrFeBN2 crystal (PBE, Alexandria via LeMat-Bulk).

Summary:
energy relative to the elements, uncorrected: 1.3711 eV/atom
calculated density: 4959 kg/m3

abc: 3.5589 3.5589 3.8773
angles: 90.00 90.00 90.00
Space group P4/mmm (No. 123)
Unique sites:
Cr1 0.0000 0.0000 0.0000 (multiplicity 1)
Fe1 0.5000 0.5000 0.5000 (multiplicity 1)
B1 0.5000 0.5000 0.0000 (multiplicity 1)
N1 0.0000 0.5000 0.5000 (multiplicity 2)

Number 1: total energy -3.19 eV/atom, total magnetic moment 0.00 μB/cell. Number 2: total energy -3.65 eV/atom, total magnetic moment 0.92 μB/cell. Number 3: total energy -6.91 eV/atom, total magnetic moment 0.95 μB/cell.